Compound: AsIN
Source: Alexandria via LeMat-Bulk
Functional: PBE-GGA
Structure: optimized geometry

Computed properties:
* space group: P-1
* E_form (uncorrected): 1.21 eV per atom
* total DFT energy (no corrections): -21.79 eV/cell
* magnetic moment: 0.00 Bohr magnetons per cell

Cell: 3.7680 4.2006 9.3610 Å, 85.00 85.59 69.01°
Fractional positions:
As1 0.1779 0.1510 0.0584
As2 0.8221 0.8490 0.9416
I1 0.0461 0.7825 0.3609
I2 0.9539 0.2175 0.6391
N1 0.0789 0.2417 0.4197
N2 0.9211 0.7583 0.5803

Compound: AsI3N
Source: Alexandria via LeMat-Bulk
Functional: PBE-GGA
Structure: optimized geometry

Computed properties:
* excess energy over the best structure of this formula in the dataset: 0.000 eV/atom
* space group: C2/m
* E_form (uncorrected): 0.80 eV per atom
* total DFT energy (no corrections): -27.29 eV/cell
* magnetic moment: 1.98 Bohr magnetons per cell

Cell: 8.9267 8.9267 8.8877 Å, 114.94 114.94 52.58°
Fractional positions:
As1 0.2468 0.7532 0.0000
As2 0.7532 0.2468 0.0000
I1 0.0164 0.0164 0.2567
I2 0.2168 0.2168 0.0963
I3 0.4708 0.4708 0.7571
I4 0.5292 0.5292 0.2429
I5 0.7832 0.7832 0.9037
I6 0.9836 0.9836 0.7433
N1 0.3379 0.3379 0.3047
N2 0.6621 0.6621 0.6953

Compound: NaAsIN2
Source: Alexandria via LeMat-Bulk
Functional: PBE-GGA
Structure: optimized geometry

Computed properties:
* excess energy over the best structure of this formula in the dataset: 1.063 eV/atom
* space group: P4/mmm
* E_form (uncorrected): 1.94 eV per atom
* total DFT energy (no corrections): -14.48 eV/cell
* magnetic moment: 3.84 Bohr magnetons per cell

Cell: 4.5430 4.5430 6.3515 Å, 90.00 90.00 90.00°
Fractional positions:
Na1 0.0000 0.0000 0.0000
As1 0.5000 0.5000 0.5000
I1 0.0000 0.0000 0.5000
N1 0.0000 0.5000 0.0000
N2 0.5000 0.0000 0.0000

Compound: NaAsIN2
Source: Alexandria via LeMat-Bulk
Functional: PBE-GGA
Structure: optimized geometry

Computed properties:
* excess energy over the best structure of this formula in the dataset: 0.000 eV/atom
* space group: P4/mmm
* E_form (uncorrected): 0.88 eV per atom
* total DFT energy (no corrections): -19.79 eV/cell
* magnetic moment: 0.71 Bohr magnetons per cell

Cell: 3.8997 3.8997 6.9496 Å, 90.00 90.00 90.00°
Fractional positions:
Na1 0.0000 0.0000 0.0000
As1 0.5000 0.5000 0.5000
I1 0.5000 0.5000 0.0000
N1 0.0000 0.5000 0.5000
N2 0.5000 0.0000 0.5000

Compound: NbAsI2N
Source: Alexandria via LeMat-Bulk
Functional: PBE-GGA
Structure: optimized geometry

Computed properties:
* excess energy over the best structure of this formula in the dataset: 0.000 eV/atom
* space group: P4/mmm
* E_form (uncorrected): 0.44 eV per atom
* total DFT energy (no corrections): -23.94 eV/cell
* magnetic moment: 0.39 Bohr magnetons per cell

Cell: 5.7058 5.7058 3.9025 Å, 90.00 90.00 90.00°
Fractional positions:
Nb1 0.0000 0.0000 0.0000
As1 0.5000 0.5000 0.5000
I1 0.0000 0.5000 0.0000
I2 0.5000 0.0000 0.0000
N1 0.0000 0.0000 0.5000

Compound: NbAsIN2
Source: Alexandria via LeMat-Bulk
Functional: PBE-GGA
Structure: optimized geometry

Computed properties:
* excess energy over the best structure of this formula in the dataset: 0.967 eV/atom
* space group: P4/mmm
* E_form (uncorrected): 1.72 eV per atom
* total DFT energy (no corrections): -24.32 eV/cell
* magnetic moment: 1.67 Bohr magnetons per cell

Cell: 3.9847 3.9847 5.7048 Å, 90.00 90.00 90.00°
Fractional positions:
Nb1 0.0000 0.0000 0.0000
As1 0.5000 0.5000 0.5000
I1 0.5000 0.5000 0.0000
N1 0.0000 0.5000 0.5000
N2 0.5000 0.0000 0.5000

Compound: NbAsI2N
Source: Alexandria via LeMat-Bulk
Functional: PBE-GGA
Structure: optimized geometry

Computed properties:
* excess energy over the best structure of this formula in the dataset: 0.654 eV/atom
* space group: P4/mmm
* E_form (uncorrected): 1.09 eV per atom
* total DFT energy (no corrections): -20.67 eV/cell
* magnetic moment: 3.36 Bohr magnetons per cell

Cell: 5.8753 5.8753 3.6673 Å, 90.00 90.00 90.00°
Fractional positions:
Nb1 0.0000 0.0000 0.0000
As1 0.5000 0.5000 0.5000
I1 0.0000 0.5000 0.5000
I2 0.5000 0.0000 0.5000
N1 0.5000 0.5000 0.0000

Compound: NbAsIN2
Source: Alexandria via LeMat-Bulk
Functional: PBE-GGA
Structure: optimized geometry

Computed properties:
* excess energy over the best structure of this formula in the dataset: 0.000 eV/atom
* space group: P4/mmm
* E_form (uncorrected): 0.75 eV per atom
* total DFT energy (no corrections): -29.15 eV/cell
* magnetic moment: 0.96 Bohr magnetons per cell

Cell: 4.0893 4.0893 5.9928 Å, 90.00 90.00 90.00°
Fractional positions:
Nb1 0.0000 0.0000 0.0000
As1 0.5000 0.5000 0.5000
I1 0.0000 0.0000 0.5000
N1 0.0000 0.5000 0.0000
N2 0.5000 0.0000 0.0000